1.
Computed, not measured: a relaxed CsAl crystal at the PBE-GGA level of DFT.

Values from the calculation:
The energy relative to the lowest polymorph listed for this composition is 0.388 eV per atom. The calculated total energy is -13.8 eV/cell. The magnetization is 0.511 μB per atom. The calculation puts the volume at 61.7 A^3/atom. For the formation energy, the calculation gives 0.57 eV/atom.

The structure in POSCAR format:
```
CsAl
1.0
8.0072 0.0000 0.0000
0.0000 8.0072 0.0000
0.0000 0.0000 7.6960
Cs Al
4 4
Direct
0.1788 0.1788 0.0000 Cs
0.3212 0.6788 0.5000 Cs
0.6788 0.3212 0.5000 Cs
0.8212 0.8212 0.0000 Cs
0.1118 0.1118 0.5000 Al
0.3882 0.6118 0.0000 Al
0.6118 0.3882 0.0000 Al
0.8882 0.8882 0.5000 Al
```

2.
Computed, not measured: a relaxed CsAl crystal at the PBE-GGA level of DFT.

Values from the calculation:
The energy relative to the lowest polymorph listed for this composition is 0.067 eV per atom. The calculated total energy is -16.4 eV/cell. The magnetization is 0.000 μB per atom. The calculation puts the volume at 62.4 A^3/atom. For the formation energy, the calculation gives 0.25 eV/atom.

The structure in POSCAR format:
```
CsAl
1.0
-7.2621 7.2621 2.3654
7.2621 -7.2621 2.3654
7.2621 7.2621 -2.3654
Cs Al
4 4
Direct
0.0000 0.2495 0.2495 Cs
0.0000 0.7505 0.7505 Cs
0.2495 0.0000 0.2495 Cs
0.7505 0.0000 0.7505 Cs
0.2725 0.2725 0.5449 Al
0.2725 0.7275 0.0000 Al
0.7275 0.2725 0.0000 Al
0.7275 0.7275 0.4551 Al
```

3.
Computed, not measured: a relaxed CsAl crystal at the PBE-GGA level of DFT.

Values from the calculation:
The energy relative to the lowest polymorph listed for this composition is 0.075 eV per atom. The calculated total energy is -24.5 eV/cell. The magnetization is 0.000 μB per atom. The calculation puts the volume at 68.3 A^3/atom. For the formation energy, the calculation gives 0.26 eV/atom.

The structure in POSCAR format:
```
CsAl
1.0
14.1414 0.0000 0.0000
-7.0707 12.2468 0.0000
0.0000 0.0000 4.7301
Cs Al
6 6
Direct
0.2166 0.4333 0.2500 Cs
0.2166 0.7834 0.2500 Cs
0.4333 0.2166 0.7500 Cs
0.5667 0.7834 0.2500 Cs
0.7834 0.2166 0.7500 Cs
0.7834 0.5667 0.7500 Cs
0.0375 0.5187 0.7500 Al
0.4813 0.5187 0.7500 Al
0.4813 0.9625 0.7500 Al
0.5187 0.0375 0.2500 Al
0.5187 0.4813 0.2500 Al
0.9625 0.4813 0.2500 Al
```

4.
Computed, not measured: a relaxed CsAl crystal at the PBE-GGA level of DFT.

Values from the calculation:
The energy relative to the lowest polymorph listed for this composition is 0.945 eV per atom. The calculated total energy is -2.3 eV/cell. The magnetization is 0.000 μB per atom. The calculation puts the volume at 78.6 A^3/atom. For the formation energy, the calculation gives 1.13 eV/atom.

The structure in POSCAR format:
```
CsAl
1.0
0.0000 4.2827 4.2827
4.2827 0.0000 4.2827
4.2827 4.2827 0.0000
Cs Al
1 1
Direct
0.0000 0.0000 0.0000 Cs
0.2500 0.2500 0.2500 Al
```

5.
Computed, not measured: a relaxed Cs2AlCu crystal at the PBE-GGA level of DFT.

Values from the calculation:
The energy relative to the lowest polymorph listed for this composition is 0.388 eV per atom. The calculated total energy is -6.8 eV/cell. The magnetization is 0.403 μB per atom. The calculation puts the volume at 45.1 A^3/atom. For the formation energy, the calculation gives 0.67 eV/atom.

The structure in POSCAR format:
```
Cs2AlCu
1.0
0.0000 4.4851 4.4851
4.4851 0.0000 4.4851
4.4851 4.4851 0.0000
Cs Al Cu
2 1 1
Direct
0.2500 0.2500 0.2500 Cs
0.7500 0.7500 0.7500 Cs
0.0000 0.0000 0.0000 Al
0.5000 0.5000 0.5000 Cu
```

6.
Computed, not measured: a relaxed CsAl2Cu crystal at the PBE-GGA level of DFT.

Values from the calculation:
The energy relative to the lowest polymorph listed for this composition is 0.558 eV per atom. The calculated total energy is -9.0 eV/cell. The magnetization is 0.000 μB per atom. The calculation puts the volume at 24.6 A^3/atom. For the formation energy, the calculation gives 0.85 eV/atom.

The structure in POSCAR format:
```
CsAl2Cu
1.0
0.0000 3.6643 3.6643
3.6643 0.0000 3.6643
3.6643 3.6643 0.0000
Cs Al Cu
1 2 1
Direct
0.0000 0.0000 0.0000 Cs
0.2500 0.2500 0.2500 Al
0.7500 0.7500 0.7500 Al
0.5000 0.5000 0.5000 Cu
```

7.
Computed, not measured: a relaxed CsAl2Cu crystal at the PBE-GGA level of DFT.

Values from the calculation:
The energy relative to the lowest polymorph listed for this composition is 0.000 eV per atom. The calculated total energy is -22.5 eV/cell. The magnetization is 0.000 μB per atom. The calculation puts the volume at 34.1 A^3/atom. For the formation energy, the calculation gives 0.29 eV/atom.

The structure in POSCAR format:
```
CsAl2Cu
1.0
-3.2593 3.2593 6.4171
3.2593 -3.2593 6.4171
3.2593 3.2593 -6.4171
Cs Al Cu
2 4 2
Direct
0.3750 0.6250 0.7500 Cs
0.6250 0.3750 0.2500 Cs
0.0000 0.0000 0.0000 Al
0.0000 0.0000 0.5000 Al
0.0000 0.5000 0.0000 Al
0.5000 0.0000 0.5000 Al
0.1250 0.8750 0.2500 Cu
0.8750 0.1250 0.7500 Cu
```

8.
Computed, not measured: a relaxed Cs2AlCu crystal at the PBE-GGA level of DFT.

Values from the calculation:
The energy relative to the lowest polymorph listed for this composition is 0.000 eV per atom. The calculated total energy is -16.8 eV/cell. The magnetization is 0.000 μB per atom. The calculation puts the volume at 56.6 A^3/atom. For the formation energy, the calculation gives 0.29 eV/atom.

The structure in POSCAR format:
```
Cs2AlCu
1.0
-6.9115 6.9115 2.3707
6.9115 -6.9115 2.3707
6.9115 6.9115 -2.3707
Cs Al Cu
4 2 2
Direct
0.3750 0.1875 0.3125 Cs
0.8125 0.1250 0.1875 Cs
0.8750 0.0625 0.6875 Cs
0.9375 0.6250 0.8125 Cs
0.2500 0.7500 0.5000 Al
0.5000 0.5000 0.0000 Al
0.0000 0.0000 0.0000 Cu
0.7500 0.2500 0.5000 Cu
```

9.
Computed, not measured: a relaxed Cs2Al3CuF12 crystal at the PBE-GGA level of DFT.

Values from the calculation:
For the raw formation energy, the calculation gives -3.1364 eV per atom. The calculated total energy is -95.9 eV/cell. The magnetization is 0.006 μB per atom. The calculation puts the volume at 14.9 A^3/atom.

The structure in POSCAR format:
```
Cs2Al3CuF12
1.0
3.5576 2.0540 6.1283
-3.5576 2.0540 6.1283
0.0000 -4.1079 6.1283
Cs Al Cu F
2 3 1 12
Direct
0.1228 0.1228 0.1228 Cs
0.8772 0.8772 0.8772 Cs
0.0000 0.5000 0.5000 Al
0.5000 0.0000 0.5000 Al
0.5000 0.5000 0.0000 Al
0.5000 0.5000 0.5000 Cu
0.1202 0.5849 0.5849 F
0.2018 0.2018 0.5772 F
0.2018 0.5772 0.2018 F
0.4151 0.4151 0.8798 F
0.4151 0.8798 0.4151 F
0.4228 0.7982 0.7982 F
0.5772 0.2018 0.2018 F
0.5849 0.1202 0.5849 F
0.5849 0.5849 0.1202 F
0.7982 0.4228 0.7982 F
0.7982 0.7982 0.4228 F
0.8798 0.4151 0.4151 F
```

10.
Computed, not measured: a relaxed CsAlCuF6 crystal at the PBE-GGA level of DFT.

Values from the calculation:
For the raw formation energy, the calculation gives -2.7341 eV per atom. The energy relative to the lowest polymorph listed for this composition is 0.031 eV per atom. The calculated total energy is -44.5 eV/cell. The magnetization is 0.111 μB per atom. The calculation puts the volume at 17.3 A^3/atom.

The structure in POSCAR format:
```
CsAlCuF6
1.0
5.2600 0.0000 0.0000
-2.6300 4.5553 0.0000
0.0000 0.0000 6.5018
Cs Al Cu F
1 1 1 6
Direct
0.0000 0.0000 0.0000 Cs
0.6667 0.3333 0.5000 Al
0.3333 0.6667 0.5000 Cu
0.3989 0.0308 0.6624 F
0.3989 0.3681 0.3376 F
0.6319 0.0308 0.3376 F
0.6319 0.6011 0.6624 F
0.9692 0.3681 0.6624 F
0.9692 0.6011 0.3376 F
```

11.
Computed, not measured: a relaxed CsAl2CuF8 crystal at the PBE-GGA level of DFT.

Values from the calculation:
For the raw formation energy, the calculation gives -2.9167 eV per atom. The calculated total energy is -62.4 eV/cell. The magnetization is 0.009 μB per atom. The calculation puts the volume at 17.5 A^3/atom.

The structure in POSCAR format:
```
CsAl2CuF8
1.0
2.7360 1.5796 8.0999
-2.7360 1.5796 8.0999
0.0000 -3.1592 8.0999
Cs Al Cu F
1 2 1 8
Direct
0.0000 0.0000 0.0000 Cs
0.2379 0.2379 0.2379 Al
0.7621 0.7621 0.7621 Al
0.5000 0.5000 0.5000 Cu
0.0843 0.4863 0.7732 F
0.2268 0.9157 0.5137 F
0.3082 0.3082 0.3082 F
0.4863 0.7732 0.0843 F
0.5137 0.2268 0.9157 F
0.6918 0.6918 0.6918 F
0.7732 0.0843 0.4863 F
0.9157 0.5137 0.2268 F
```

12.
Computed, not measured: a relaxed CsAlCuF6 crystal at the PBE-GGA level of DFT.

Values from the calculation:
For the raw formation energy, the calculation gives -2.7647 eV per atom. The energy relative to the lowest polymorph listed for this composition is 0.000 eV per atom. The calculated total energy is -89.6 eV/cell. The magnetization is 0.111 μB per atom. The calculation puts the volume at 14.9 A^3/atom.

The structure in POSCAR format:
```
CsAlCuF6
1.0
-3.6002 3.6121 5.1732
3.6002 -3.6121 5.1732
3.6002 3.6121 -5.1732
Cs Al Cu F
2 2 2 12
Direct
0.3711 0.1211 0.2500 Cs
0.6289 0.8789 0.7500 Cs
0.0000 0.0000 0.5000 Al
0.0000 0.5000 0.0000 Al
0.0000 0.5000 0.5000 Cu
0.5000 0.5000 0.0000 Cu
0.0443 0.7943 0.2500 F
0.0592 0.4179 0.2174 F
0.0592 0.8417 0.6413 F
0.2995 0.1583 0.7174 F
0.2995 0.5821 0.1413 F
0.3238 0.5738 0.7500 F
0.6762 0.4262 0.2500 F
0.7005 0.4179 0.8587 F
0.7005 0.8417 0.2826 F
0.9408 0.1583 0.3587 F
0.9408 0.5821 0.7826 F
0.9557 0.2057 0.7500 F
```

13.
Computed, not measured: a relaxed CsAlCuF6 crystal at the PBE-GGA level of DFT.

Values from the calculation:
For the raw formation energy, the calculation gives -2.7642 eV per atom. The energy relative to the lowest polymorph listed for this composition is 0.000 eV per atom. The calculated total energy is -179.2 eV/cell. The magnetization is 0.111 μB per atom. The calculation puts the volume at 14.8 A^3/atom.

The structure in POSCAR format:
```
CsAlCuF6
1.0
7.1816 0.0000 0.0000
0.0000 7.2028 0.0000
0.0000 0.0000 10.3110
Cs Al Cu F
4 4 4 24
Direct
0.0100 0.2500 0.1280 Cs
0.4900 0.7500 0.6280 Cs
0.5100 0.2500 0.3720 Cs
0.9900 0.7500 0.8720 Cs
0.0000 0.0000 0.5000 Al
0.0000 0.5000 0.5000 Al
0.5000 0.0000 0.0000 Al
0.5000 0.5000 0.0000 Al
0.2284 0.2500 0.7571 Cu
0.2716 0.7500 0.2571 Cu
0.7284 0.2500 0.7429 Cu
0.7716 0.7500 0.2429 Cu
0.0263 0.7500 0.1751 F
0.0273 0.2500 0.4586 F
0.1551 0.0255 0.6381 F
0.1551 0.4745 0.6381 F
0.2008 0.5498 0.3985 F
0.2008 0.9502 0.3985 F
0.2992 0.0498 0.8985 F
0.2992 0.4502 0.8985 F
0.3449 0.5255 0.1381 F
0.3449 0.9745 0.1381 F
0.4727 0.7500 0.9586 F
0.4737 0.2500 0.6751 F
0.5263 0.7500 0.3249 F
0.5273 0.2500 0.0414 F
0.6551 0.0255 0.8619 F
0.6551 0.4745 0.8619 F
0.7008 0.5498 0.1015 F
0.7008 0.9502 0.1015 F
0.7992 0.0498 0.6015 F
0.7992 0.4502 0.6015 F
0.8449 0.5255 0.3619 F
0.8449 0.9745 0.3619 F
0.9727 0.7500 0.5414 F
0.9737 0.2500 0.8249 F
```

14.
Computed, not measured: a relaxed Cs2AlCuF6 crystal at the PBE-GGA level of DFT.

Values from the calculation:
For the raw formation energy, the calculation gives -2.7666 eV per atom. The calculated total energy is -48.4 eV/cell. The magnetization is 0.015 μB per atom. The calculation puts the volume at 17.6 A^3/atom.

The structure in POSCAR format:
```
Cs2AlCuF6
1.0
0.0000 4.7678 4.8127
3.8316 0.0000 4.8127
3.8316 4.7678 0.0000
Cs Al Cu F
2 1 1 6
Direct
0.2500 0.2500 0.2500 Cs
0.7500 0.7500 0.7500 Cs
0.0000 0.0000 0.0000 Al
0.5000 0.5000 0.5000 Cu
0.1874 0.1874 0.8126 F
0.1897 0.8104 0.1897 F
0.2544 0.7456 0.7456 F
0.7456 0.2544 0.2544 F
0.8104 0.1897 0.8104 F
0.8126 0.8126 0.1874 F
```

15.
Computed, not measured: a relaxed CsAl2CuH8 crystal at the PBE-GGA level of DFT.

Values from the calculation:
The calculated total energy is -39.6 eV/cell. The magnetization is 0.000 μB per atom. The calculation puts the volume at 14.3 A^3/atom.

The structure in POSCAR format:
```
CsAl2CuH8
1.0
2.4206 1.3976 8.4763
-2.4206 1.3976 8.4763
0.0000 -2.7951 8.4763
Cs Al Cu H
1 2 1 8
Direct
0.0000 0.0000 0.0000 Cs
0.2240 0.2240 0.2240 Al
0.7760 0.7760 0.7760 Al
0.5000 0.5000 0.5000 Cu
0.1409 0.4800 0.7542 H
0.2458 0.8591 0.5200 H
0.2893 0.2893 0.2893 H
0.4800 0.7542 0.1409 H
0.5200 0.2458 0.8591 H
0.7107 0.7107 0.7107 H
0.7542 0.1409 0.4800 H
0.8591 0.5200 0.2458 H
```

16.
Computed, not measured: a relaxed Cs2AlCuI6 crystal at the PBE-GGA level of DFT.

Values from the calculation:
For the raw formation energy, the calculation gives -0.8527 eV per atom. The energy relative to the lowest polymorph listed for this composition is 0.000 eV per atom. The calculated total energy is -27.4 eV/cell. The magnetization is 0.003 μB per atom. The calculation puts the volume at 41.6 A^3/atom.

The structure in POSCAR format:
```
Cs2AlCuI6
1.0
8.2844 0.0000 0.0000
-4.1422 7.1745 0.0000
0.0000 0.0000 7.0023
Cs Al Cu I
2 1 1 6
Direct
0.3333 0.6667 0.2259 Cs
0.6667 0.3333 0.7741 Cs
0.0000 0.0000 0.0000 Al
0.0000 0.0000 0.5000 Cu
0.1561 0.3121 0.7626 I
0.1561 0.8439 0.7626 I
0.3121 0.1561 0.2374 I
0.6879 0.8439 0.7626 I
0.8439 0.1561 0.2374 I
0.8439 0.6879 0.2374 I
```

17.
Computed, not measured: a relaxed Cs2AlCuI6 crystal at the PBE-GGA level of DFT.

Values from the calculation:
For the raw formation energy, the calculation gives -0.8170 eV per atom. The energy relative to the lowest polymorph listed for this composition is 0.036 eV per atom. The calculated total energy is -27.0 eV/cell. The magnetization is 0.000 μB per atom. The calculation puts the volume at 39.1 A^3/atom.

The structure in POSCAR format:
```
Cs2AlCuI6
1.0
-4.0258 4.0258 6.0263
4.0258 -4.0258 6.0263
4.0258 4.0258 -6.0263
Cs Al Cu I
2 1 1 6
Direct
0.2500 0.7500 0.5000 Cs
0.7500 0.2500 0.5000 Cs
0.0000 0.0000 0.0000 Al
0.5000 0.5000 0.0000 Cu
0.2255 0.2255 0.0000 I
0.2549 0.2549 0.5097 I
0.2549 0.7451 0.0000 I
0.7451 0.2549 0.0000 I
0.7451 0.7451 0.4903 I
0.7745 0.7745 0.0000 I
```

18.
Computed, not measured: a relaxed CsMn2AlCu crystal at the PBE-GGA level of DFT.

Values from the calculation:
The calculated total energy is -16.0 eV/cell. The magnetization is 1.728 μB per atom. The calculation puts the volume at 30.9 A^3/atom. For the formation energy, the calculation gives 2.20 eV/atom.

The structure in POSCAR format:
```
CsMn2AlCu
1.0
5.4662 0.0000 0.0000
0.0000 5.4662 0.0000
0.0000 0.0000 5.1725
Cs Mn Al Cu
1 2 1 1
Direct
0.0000 0.0000 0.0000 Cs
0.0000 0.5000 0.0000 Mn
0.5000 0.0000 0.0000 Mn
0.5000 0.5000 0.5000 Al
0.0000 0.0000 0.5000 Cu
```

19.
Computed, not measured: a relaxed CsAlCu2Ni crystal at the PBE-GGA level of DFT.

Values from the calculation:
The calculated total energy is -16.3 eV/cell. The magnetization is 0.000 μB per atom. The calculation puts the volume at 22.3 A^3/atom. For the formation energy, the calculation gives 0.45 eV/atom.

The structure in POSCAR format:
```
CsAlCu2Ni
1.0
4.9461 0.0000 0.0000
0.0000 4.9461 0.0000
0.0000 0.0000 4.5545
Cs Al Cu Ni
1 1 2 1
Direct
0.0000 0.0000 0.0000 Cs
0.5000 0.5000 0.0000 Al
0.0000 0.5000 0.5000 Cu
0.5000 0.0000 0.5000 Cu
0.5000 0.5000 0.5000 Ni
```

20.
Computed, not measured: a relaxed CsAlCuSe2 crystal at the PBE-GGA level of DFT.

Values from the calculation:
For the raw formation energy, the calculation gives -0.5255 eV per atom. The calculated total energy is -36.6 eV/cell. The magnetization is 0.000 μB per atom. The calculation puts the volume at 30.2 A^3/atom.

The structure in POSCAR format:
```
CsAlCuSe2
1.0
3.1887 -7.0742 0.0000
3.1887 7.0742 0.0000
0.0000 0.0000 6.6849
Cs Al Cu Se
2 2 2 4
Direct
0.2500 0.7500 0.7708 Cs
0.7500 0.2500 0.2292 Cs
0.2500 0.2500 0.5000 Al
0.7500 0.7500 0.5000 Al
0.0000 0.0000 0.0000 Cu
0.5000 0.5000 0.0000 Cu
0.0928 0.9072 0.2856 Se
0.4072 0.5928 0.2856 Se
0.5928 0.4072 0.7144 Se
0.9072 0.0928 0.7144 Se
```